[1]
## Na2AgSn4Pt3 (GGA-PBE)

Data for an optimized crystal structure of Na2AgSn4Pt3.

Summary:
Its symmetry is P-4m2, No. 115. The crystal system is tetragonal. As for the calculated formation energy: -368.2 meV per atom.

Unit cell a=4.658 b=4.658 c=10.865 alpha=90.00 beta=90.00 gamma=90.00
Sites, in units of the cell vectors:
Ag 0.500 0.500 0.500
Sn 0.000 0.500 0.368
Sn 0.000 0.000 0.000
Sn 0.500 0.500 0.000
Sn 0.500 0.000 0.632
Pt 0.000 0.500 0.126
Pt 0.000 0.000 0.500
Pt 0.500 0.000 0.874
Na 0.000 0.500 0.739
Na 0.500 0.000 0.261

---

[2]
## KScCl (GGA-PBE)

Data for an optimized crystal structure of KScCl.

Summary:
The value obtained for the formation energy (no corrections) is 0.333 eV per atom. Its symmetry is F-43m, No. 216. As for the excess energy over the best structure of this formula in the dataset: 100.1 kJ per mole of atoms. The crystal system is cubic.

Unit cell a=5.634 b=5.634 c=5.634 alpha=60.00 beta=60.00 gamma=60.00
Site moments in Bohr magnetons follow the coordinates.
Sites, in units of the cell vectors:
Cl 0.500 0.500 0.500  0.04
K 0.750 0.750 0.750  0.04
Sc 0.000 0.000 0.000  1.19